Computed, not measured: ZrZn2Mo after structural relaxation at the PBE level of DFT.

a b c (Å): 2.833 2.833 8.252
angles (deg): 90.00 90.00 90.00
Sites, in units of the cell vectors:
1 Zr 0.000 0.000 0.000
2 Zn 0.500 0.500 0.264
3 Zn 0.500 0.500 0.736
4 Mo 0.000 0.000 0.500

Properties
- Magnetic moment: 0.0 μB/f.u.
- DFT total energy: -21.886 eV for the cell shown